The following is a PBE-GGA calculation of a relaxed structure of CrTcHW2, from Alexandria.

Calculated volume, A^3/atom: 12.233
ρ, g/cm³: 14.08
DFT total energy, eV per atom: -9.651
SG: P4/mmm (123)

Unit cell a=4.2824 b=4.2824 c=3.3352 alpha=90.00 beta=90.00 gamma=90.00
With the nearest neighbours (Å) after each atom.
Positions (direct):
Cr 0.0000 0.0000 0.5000  2 H 1.67
Tc 0.5000 0.5000 0.5000  8 W 2.71, 4 Cr 3.03
W 0.0000 0.5000 0.0000  2 H 2.14
W 0.5000 0.0000 0.0000  2 H 2.14
H 0.0000 0.0000 0.0000  2 Cr 1.67